(1)
VASP calculation (PBE) on K2ThGaSe5 after structural relaxation.

Unit cell a=4.0614 b=10.4781 c=14.3806 alpha=90.00 beta=90.00 gamma=101.17
With the nearest neighbours (Å) after each atom.
Sites, in units of the cell vectors:
Se (0.3399, 0.6797, 0.0090)  1 Th 2.84
Se (0.3053, 0.6105, 0.6651)  2 Th 2.84
Ga (0.5652, 0.1304, 0.9223)  4 Se 2.37-2.51
Ga (0.4348, 0.8696, 0.4223)  4 Se 2.37-2.51
Se (0.6947, 0.3895, 0.1651)  2 Th 2.84
Se (0.6836, 0.3672, 0.8787)  1 Ga 2.51
K (0.1239, 0.2478, 0.3280)  6 Se 3.39-3.43
Se (0.4941, 0.9882, 0.2810)  1 Ga 2.37
Se (0.6601, 0.3203, 0.5090)  1 Th 2.84
Se (0.9488, 0.8975, 0.5230)  2 Ga 2.51
Se (0.3164, 0.6328, 0.3787)  1 Ga 2.51
K (0.8761, 0.7522, 0.8280)  6 Se 3.39-3.43
Th (0.7978, 0.5956, 0.5272)  6 Se 2.84-3.10
Th (0.2022, 0.4044, 0.0272)  6 Se 2.84-3.10
Se (0.5059, 0.0118, 0.7810)  1 Ga 2.37
Se (0.0512, 0.1025, 0.0230)  2 Ga 2.51
K (0.1270, 0.2541, 0.6897)  7 Se 3.37-3.68
K (0.8730, 0.7459, 0.1897)  7 Se 3.37-3.68

Total magnetic moment   0.565 μB per formula unit
Total energy   -4.464 eV/atom
SG   Cmc2_1
Raw formation energy   -10.1 eV/f.u.
Crystal system   orthorhombic
N(E_F)   0.72 states/eV/atom

=====

(2)
VASP calculation (PBE) on Na2PHS4 after structural relaxation.

Unit cell a=5.8891 b=6.8716 c=10.1351 alpha=90.00 beta=90.00 gamma=90.00
With the nearest neighbours (Å) after each atom.
Sites, in units of the cell vectors:
S (0.8804, 0.9056, 0.0000)  1 P 2.02
S (0.8817, 0.8609, 0.5000)  1 H 1.35
Na (0.9730, 0.7272, 0.2387)  4 S 2.77-2.97
S (0.4511, 0.6802, 0.6722)  1 P 2.03
Na (0.9730, 0.7272, 0.7613)  4 S 2.77-2.97
S (0.3804, 0.0944, 0.5000)  1 P 2.02
P (0.5119, 0.8225, 0.5000)  4 S 2.02-2.19
S (0.4511, 0.6802, 0.3278)  1 P 2.03
H (0.3777, 0.9434, 0.0000)  1 S 1.35
Na (0.4730, 0.2728, 0.2613)  4 S 2.77-2.97
S (0.9511, 0.3198, 0.1722)  1 P 2.03
S (0.3817, 0.1391, 0.0000)  1 H 1.35
H (0.8777, 0.0566, 0.5000)  1 S 1.35
P (0.0119, 0.1775, 0.0000)  4 S 2.02-2.19
Na (0.4730, 0.2728, 0.7387)  4 S 2.77-2.97
S (0.9511, 0.3198, 0.8278)  1 P 2.03

Total magnetic moment   0.000 μB per formula unit
Total energy   -4.116 eV/atom
SG   Pmn2_1
Crystal system   orthorhombic
N(E_F)   0.00 states/eV/atom

=====

(3)
VASP calculation (PBE) on SmCd6Ag6 after structural relaxation.

Unit cell a=5.5907 b=7.5228 c=7.5228 alpha=81.33 beta=68.19 gamma=68.19
With the nearest neighbours (Å) after each atom.
Sites, in units of the cell vectors:
Cd (0.0000, 0.3455, 0.6545)  6 Ag 3.00-3.04, 1 Cd 3.03
Cd (0.0000, 0.6545, 0.3455)  6 Ag 3.00-3.04, 1 Cd 3.03
Ag (0.0000, 0.0000, 0.5000)  4 Ag 2.80-2.87, 6 Cd 2.88-3.00
Ag (0.5000, 0.7777, 0.2223)  4 Ag 2.87, 6 Cd 2.91-3.12
Sm (0.0000, 0.0000, 0.0000)  8 Cd 3.39-3.45, 12 Ag 3.54-3.76
Ag (0.0000, 0.5000, 0.0000)  4 Ag 2.80-2.87, 6 Cd 2.88-3.00
Cd (0.6529, 0.3471, 0.3471)  6 Ag 2.98-3.12, 3 Cd 3.04-3.18
Ag (0.5000, 0.5000, 0.0000)  4 Ag 2.80-2.87, 6 Cd 2.88-3.00
Cd (0.3060, 0.1940, 0.1940)  6 Ag 2.88-2.91, 2 Cd 3.18
Cd (0.6940, 0.8060, 0.8060)  6 Ag 2.88-2.91, 2 Cd 3.18
Ag (0.5000, 0.2223, 0.7777)  4 Ag 2.87, 6 Cd 2.91-3.12
Cd (0.3471, 0.6529, 0.6529)  6 Ag 2.98-3.12, 3 Cd 3.04-3.18
Ag (0.5000, 0.0000, 0.5000)  4 Ag 2.80-2.87, 6 Cd 2.88-3.00

Total magnetic moment   0.000 μB per formula unit
Total energy   -2.222 eV/atom
SG   Immm
E_form   -0.12 eV/atom
Crystal system   orthorhombic
N(E_F)   0.52 states/eV/atom

=====

Question: What is the total magnetic moment in the third record?
Answer: 0.000 μB per formula unit